No. 1
GGA-PBE ThOsAu, optimized geometry; energy = -7.2166 eV per atom
1.0
0.000 3.312 3.312
3.312 0.000 3.312
3.312 3.312 0.000
Th Os Au
1 1 1
direct
0.000 0.000 0.000
0.750 0.750 0.750
0.500 0.500 0.500

***

No. 2
GGA-PBE HoTmTlFe2, optimized geometry; energy = -5.7739 eV per atom
1.0
3.916 0.000 0.000
0.000 1.889 6.896
0.000 -1.889 6.896
Ho Tm Tl Fe
1 1 1 2
direct
0.000 0.000 0.000
0.000 0.280 0.280
0.500 0.640 0.640
0.500 0.429 0.429
0.500 0.849 0.849

***

No. 3
GGA-PBE TmNpAs, optimized geometry; distance to the lowest polymorph of the same formula = 0.0 kJ/mol of atoms
1.0
0.000 3.394 3.394
3.394 0.000 3.394
3.394 3.394 0.000
Tm Np As
1 1 1
direct
0.000 0.000 0.000
0.500 0.500 0.500
0.750 0.750 0.750

***

No. 4
GGA-PBE NbTlTe3Pd, optimized geometry; distance to the lowest polymorph of the same formula = 0.0 kJ/mol of atoms
1.0
8.621 0.000 0.000
0.000 3.913 0.000
-4.107 0.000 9.755
Nb Tl Te Pd
2 2 6 2
direct
0.219 0.250 0.182
0.781 0.750 0.818
0.215 0.750 0.710
0.785 0.250 0.290
0.050 0.250 0.883
0.238 0.250 0.445
0.424 0.750 0.136
0.576 0.250 0.864
0.762 0.750 0.555
0.950 0.750 0.117
0.422 0.750 0.388
0.578 0.250 0.612

***

No. 5
GGA-PBE LiGdGe, optimized geometry; distance to the lowest polymorph of the same formula = 2.0 kJ/mol of atoms
1.0
7.201 0.000 0.000
0.000 4.310 0.000
0.000 0.000 7.935
Li Gd Ge
4 4 4
direct
0.151 0.250 0.065
0.349 0.750 0.565
0.651 0.250 0.435
0.849 0.750 0.935
0.015 0.250 0.700
0.485 0.750 0.200
0.515 0.250 0.800
0.985 0.750 0.300
0.235 0.750 0.895
0.265 0.250 0.395
0.735 0.750 0.605
0.765 0.250 0.105

***

No. 6
GGA-PBE BPb2Au, optimized geometry; energy = -3.3179 eV per atom
1.0
0.000 3.554 3.554
3.554 0.000 3.554
3.554 3.554 0.000
B Pb Au
1 2 1
direct
0.000 0.000 0.000
0.500 0.500 0.500
0.750 0.750 0.750
0.250 0.250 0.250

***

No. 7
GGA-PBE Cu2Te, optimized geometry; energy = -3.5334 eV per atom
1.0
8.451 0.000 0.000
-4.225 7.318 0.000
0.000 0.000 41.354
Cu Te
48 24
direct
0.000 0.000 0.029
0.000 0.000 0.146
0.000 0.000 0.204
0.000 0.000 0.796
0.000 0.000 0.854
0.000 0.000 0.971
0.017 0.509 0.794
0.031 0.515 0.145
0.031 0.516 0.970
0.173 0.347 0.010
0.173 0.827 0.010
0.174 0.347 0.832
0.174 0.348 0.185
0.174 0.826 0.185
0.174 0.826 0.832
0.333 0.667 0.105
0.333 0.667 0.775
0.333 0.667 0.929
0.347 0.173 0.990
0.347 0.174 0.168
0.348 0.174 0.815
0.484 0.516 0.970
0.484 0.969 0.970
0.485 0.515 0.145
0.485 0.969 0.145
0.491 0.509 0.794
0.491 0.983 0.794
0.509 0.017 0.206
0.509 0.491 0.206
0.515 0.031 0.855
0.515 0.485 0.855
0.516 0.031 0.030
0.516 0.484 0.030
0.652 0.826 0.185
0.653 0.826 0.832
0.653 0.827 0.010
0.667 0.333 0.071
0.667 0.333 0.225
0.667 0.333 0.895
0.826 0.174 0.168
0.826 0.174 0.815
0.826 0.652 0.815
0.826 0.653 0.168
0.827 0.173 0.990
0.827 0.653 0.990
0.969 0.484 0.030
0.969 0.485 0.855
0.983 0.491 0.206
0.159 0.318 0.768
0.159 0.841 0.768
0.160 0.320 0.121
0.160 0.840 0.121
0.161 0.321 0.946
0.161 0.839 0.946
0.318 0.159 0.232
0.320 0.160 0.879
0.321 0.161 0.054
0.333 0.667 0.042
0.333 0.667 0.218
0.333 0.667 0.865
0.667 0.333 0.135
0.667 0.333 0.782
0.667 0.333 0.958
0.679 0.839 0.946
0.680 0.840 0.121
0.682 0.841 0.768
0.839 0.161 0.054
0.839 0.679 0.054
0.840 0.160 0.879
0.840 0.680 0.879
0.841 0.159 0.232
0.841 0.682 0.232

***

No. 8
GGA-PBE InAsPtO, optimized geometry; distance to the lowest polymorph of the same formula = 13.9 kJ/mol of atoms
1.0
3.208 0.000 0.000
0.000 6.365 0.000
0.000 0.000 6.892
In As Pt O
2 2 2 2
direct
0.000 0.079 0.000
0.000 0.921 0.500
0.000 0.391 0.271
0.000 0.609 0.771
0.500 0.298 0.531
0.500 0.702 0.031
0.500 0.145 0.805
0.500 0.855 0.305

***

No. 9
GGA-PBE NdReNO, optimized geometry; distance to the lowest polymorph of the same formula = 0.0 kJ/mol of atoms
1.0
5.499 0.000 0.000
0.000 8.884 0.000
0.000 0.000 4.799
Nd Re N O
4 4 4 4
direct
0.012 0.160 0.000
0.488 0.160 0.500
0.512 0.840 0.000
0.988 0.840 0.500
0.121 0.509 0.165
0.379 0.509 0.665
0.621 0.491 0.165
0.879 0.491 0.665
0.116 0.643 0.830
0.384 0.643 0.330
0.616 0.357 0.830
0.884 0.357 0.330
0.084 0.093 0.509
0.416 0.093 0.009
0.584 0.907 0.509
0.916 0.907 0.009

***

No. 10
GGA-PBE Pr2Bi, optimized geometry; energy = -4.6685 eV per atom
1.0
0.000 4.605 4.605
4.605 0.000 4.605
4.605 4.605 0.000
Pr Bi
4 2
direct
0.000 0.000 0.000
0.000 0.000 0.500
0.000 0.500 0.000
0.500 0.000 0.000
0.375 0.375 0.375
0.625 0.625 0.625

***

No. 11
GGA-PBE HfAgAsO, optimized geometry; distance to the lowest polymorph of the same formula = 55.3 kJ/mol of atoms
1.0
5.436 0.000 0.000
0.000 5.436 0.000
0.000 0.000 4.628
Hf Ag As O
2 2 2 2
direct
0.250 0.750 0.000
0.750 0.250 0.000
0.250 0.250 0.434
0.750 0.750 0.566
0.250 0.250 0.936
0.750 0.750 0.064
0.250 0.750 0.500
0.750 0.250 0.500

***

No. 12
GGA-PBE LiYTlAu, optimized geometry; distance to the lowest polymorph of the same formula = 12.8 kJ/mol of atoms
1.0
0.000 3.470 3.470
3.470 0.000 3.470
3.470 3.470 0.000
Li Y Tl Au
1 1 1 1
direct
0.000 0.000 0.000
0.250 0.250 0.250
0.500 0.500 0.500
0.750 0.750 0.750

***

No. 13
GGA-PBE CsKAsAu, optimized geometry; distance to the lowest polymorph of the same formula = 1.3 kJ/mol of atoms
1.0
6.732 0.000 0.000
0.000 5.357 3.879
0.000 -5.357 3.879
Cs K As Au
2 2 2 2
direct
0.000 0.173 0.827
0.000 0.827 0.173
0.500 0.521 0.863
0.500 0.863 0.521
0.000 0.596 0.596
0.500 0.109 0.109
0.253 0.355 0.355
0.747 0.355 0.355

***

No. 14
GGA-PBE BaZnSO, optimized geometry; energy = -4.7732 eV per atom
1.0
7.173 0.000 0.000
0.000 7.585 0.000
0.000 0.000 12.814
Ba Zn S O
8 8 8 8
direct
0.249 0.105 0.192
0.249 0.395 0.692
0.251 0.605 0.192
0.251 0.895 0.692
0.749 0.105 0.308
0.749 0.395 0.808
0.751 0.605 0.308
0.751 0.895 0.808
0.113 0.147 0.919
0.113 0.353 0.419
0.387 0.647 0.919
0.387 0.853 0.419
0.613 0.147 0.581
0.613 0.353 0.081
0.887 0.647 0.581
0.887 0.853 0.081
0.180 0.643 0.480
0.180 0.857 0.980
0.320 0.143 0.480
0.320 0.357 0.980
0.680 0.643 0.020
0.680 0.857 0.520
0.820 0.143 0.020
0.820 0.357 0.520
0.034 0.152 0.776
0.034 0.348 0.276
0.466 0.652 0.776
0.466 0.848 0.276
0.534 0.152 0.724
0.534 0.348 0.224
0.966 0.652 0.724
0.966 0.848 0.224

***

No. 15
GGA-PBE TbSiGe, optimized geometry; distance to the lowest polymorph of the same formula = 0.0 kJ/mol of atoms
1.0
0.000 3.284 3.284
3.284 0.000 3.284
3.284 3.284 0.000
Tb Si Ge
1 1 1
direct
0.000 0.000 0.000
0.750 0.750 0.750
0.500 0.500 0.500

***

No. 16
GGA-PBE SiAu, optimized geometry; energy = -4.3938 eV per atom
1.0
4.134 -4.659 0.000
4.134 4.659 0.000
0.000 0.000 4.755
Si Au
4 4
direct
0.057 0.233 0.250
0.233 0.057 0.750
0.767 0.943 0.250
0.943 0.767 0.750
0.041 0.384 0.750
0.384 0.041 0.250
0.616 0.959 0.750
0.959 0.616 0.250

***

No. 17
GGA-PBE SiTeW, optimized geometry; distance to the lowest polymorph of the same formula = 0.0 kJ/mol of atoms
1.0
0.000 3.175 3.175
3.175 0.000 3.175
3.175 3.175 0.000
Si Te W
1 1 1
direct
0.000 0.000 0.000
0.500 0.500 0.500
0.250 0.250 0.250

***

No. 18
GGA-PBE Ag3AsS4, optimized geometry; energy = -3.7460 eV per atom
1.0
7.073 0.000 0.000
0.000 7.073 0.000
0.000 0.000 7.073
Ag As S
6 2 8
direct
0.000 0.250 0.500
0.000 0.750 0.500
0.250 0.500 0.000
0.500 0.000 0.250
0.500 0.000 0.750
0.750 0.500 0.000
0.000 0.000 0.000
0.500 0.500 0.500
0.181 0.181 0.819
0.181 0.819 0.181
0.319 0.319 0.319
0.319 0.681 0.681
0.681 0.319 0.681
0.681 0.681 0.319
0.819 0.181 0.181
0.819 0.819 0.819

***

No. 19
GGA-PBE LuBeTcMo, optimized geometry; distance to the lowest polymorph of the same formula = 41.5 kJ/mol of atoms
1.0
0.000 3.149 3.149
3.149 0.000 3.149
3.149 3.149 0.000
Lu Be Tc Mo
1 1 1 1
direct
0.000 0.000 0.000
0.500 0.500 0.500
0.750 0.750 0.750
0.250 0.250 0.250

***

No. 20
GGA-PBE Tm2GaO4, optimized geometry; energy = -7.3077 eV per atom
1.0
0.000 4.624 4.624
4.624 0.000 4.624
4.624 4.624 0.000
Tm Ga O
4 2 8
direct
0.000 0.000 0.000
0.000 0.000 0.500
0.000 0.500 0.000
0.500 0.000 0.000
0.375 0.375 0.375
0.625 0.625 0.625
0.227 0.758 0.758
0.242 0.242 0.242
0.242 0.242 0.773
0.242 0.773 0.242
0.758 0.227 0.758
0.758 0.758 0.227
0.758 0.758 0.758
0.773 0.242 0.242

***

No. 21
GGA-PBE BaBeGePd, optimized geometry; distance to the lowest polymorph of the same formula = 0.0 kJ/mol of atoms
1.0
0.000 3.479 3.479
3.479 0.000 3.479
3.479 3.479 0.000
Ba Be Ge Pd
1 1 1 1
direct
0.000 0.000 0.000
0.250 0.250 0.250
0.750 0.750 0.750
0.500 0.500 0.500